Entry 1:
A geometry-optimized Hf6PtC4 structure, computed with PBE.

Calculated values
DFT formation energy (eV per formula unit): -10.5
Final energy (eV per atom): -10.2827

```
data_Hf6PtC4
_cell_length_a 3.326
_cell_length_b 11.096
_cell_length_c 17.527
_cell_angle_alpha 90.00
_cell_angle_beta 90.00
_cell_angle_gamma 90.00
_symmetry_space_group_name_H-M 'C m c m'
_symmetry_Int_Tables_number 63
_symmetry_space_group_name_Hall '-C 2c 2'
loop_
_atom_site_label
_atom_site_fract_x
_atom_site_fract_y
_atom_site_fract_z
_atom_site_occupancy
Hf1 0.000 0.000 0.000 1
Hf2 0.000 0.152 0.250 1
Hf3 0.000 0.275 0.578 1
Hf4 0.000 0.460 0.150 1
Pt1 0.000 0.164 0.750 1
C1 0.000 0.091 0.121 1
C2 0.000 0.361 0.039 1
```

Entry 2:
A geometry-optimized Hf2PtCS structure, computed with PBE.

Calculated values
Final energy (eV per atom): -8.2245

```
data_Hf2PtCS
_cell_length_a 4.583
_cell_length_b 4.583
_cell_length_c 3.908
_cell_angle_alpha 90.00
_cell_angle_beta 90.00
_cell_angle_gamma 90.00
_symmetry_space_group_name_H-M 'P 4/m m m'
_symmetry_Int_Tables_number 123
_symmetry_space_group_name_Hall '-P 4 2'
loop_
_atom_site_label
_atom_site_fract_x
_atom_site_fract_y
_atom_site_fract_z
_atom_site_occupancy
Hf1 0.000 0.500 0.000 1
Pt1 0.000 0.000 0.500 1
C1 0.000 0.000 0.000 1
S1 0.500 0.500 0.500 1
```

Entry 3:
A geometry-optimized Hf3TiPt2C structure, computed with PBE.

Calculated values
DFT formation energy (eV per formula unit): -5.7
Final energy (eV per atom): -9.2470

```
data_Hf3TiPt2C
_cell_length_a 4.112
_cell_length_b 4.413
_cell_length_c 13.635
_cell_angle_alpha 90.00
_cell_angle_beta 90.00
_cell_angle_gamma 90.00
_symmetry_space_group_name_H-M 'I m m m'
_symmetry_Int_Tables_number 71
_symmetry_space_group_name_Hall '-I 2 2'
loop_
_atom_site_label
_atom_site_fract_x
_atom_site_fract_y
_atom_site_fract_z
_atom_site_occupancy
Hf1 0.000 0.000 0.000 1
Hf2 0.000 0.500 0.174 1
Ti1 0.000 0.000 0.500 1
Pt1 0.000 0.500 0.364 1
C1 0.000 0.500 0.000 1
```

Entry 4:
A geometry-optimized Hf2TiPtC structure, computed with PBE.

Calculated values
DFT formation energy (eV per formula unit): -3.8
Final energy (eV per atom): -9.3721

```
data_Hf2TiPtC
_cell_length_a 4.439
_cell_length_b 4.439
_cell_length_c 4.144
_cell_angle_alpha 90.00
_cell_angle_beta 90.00
_cell_angle_gamma 90.00
_symmetry_space_group_name_H-M 'P 4/m m m'
_symmetry_Int_Tables_number 123
_symmetry_space_group_name_Hall '-P 4 2'
loop_
_atom_site_label
_atom_site_fract_x
_atom_site_fract_y
_atom_site_fract_z
_atom_site_occupancy
Hf1 0.000 0.500 0.000 1
Ti1 0.000 0.000 0.500 1
Pt1 0.500 0.500 0.500 1
C1 0.000 0.000 0.000 1
```

Entry 5:
A geometry-optimized Hf2VPtC structure, computed with PBE.

Calculated values
DFT formation energy (eV per formula unit): -3.5
Final energy (eV per atom): -9.5542

```
data_Hf2VPtC
_cell_length_a 4.480
_cell_length_b 4.480
_cell_length_c 3.935
_cell_angle_alpha 90.00
_cell_angle_beta 90.00
_cell_angle_gamma 90.00
_symmetry_space_group_name_H-M 'P 4/m m m'
_symmetry_Int_Tables_number 123
_symmetry_space_group_name_Hall '-P 4 2'
loop_
_atom_site_label
_atom_site_fract_x
_atom_site_fract_y
_atom_site_fract_z
_atom_site_occupancy
Hf1 0.000 0.500 0.000 1
V1 0.000 0.000 0.500 1
Pt1 0.500 0.500 0.500 1
C1 0.000 0.000 0.000 1
```

Entry 6:
A geometry-optimized HfPt2WC structure, computed with PBE.

Calculated values
DFT formation energy (eV per formula unit): 3.9
Final energy (eV per atom): -8.0555

```
data_HfPt2WC
_cell_length_a 4.905
_cell_length_b 4.905
_cell_length_c 3.934
_cell_angle_alpha 90.00
_cell_angle_beta 90.00
_cell_angle_gamma 90.00
_symmetry_space_group_name_H-M 'P 4/m m m'
_symmetry_Int_Tables_number 123
_symmetry_space_group_name_Hall '-P 4 2'
loop_
_atom_site_label
_atom_site_fract_x
_atom_site_fract_y
_atom_site_fract_z
_atom_site_occupancy
Hf1 0.000 0.000 0.000 1
Pt1 0.000 0.500 0.500 1
W1 0.500 0.500 0.500 1
C1 0.500 0.500 0.000 1
```

Entry 7:
A geometry-optimized HfZr3Pt2C structure, computed with PBE.

Calculated values
DFT formation energy (eV per formula unit): -5.2
Final energy (eV per atom): -8.8668

```
data_HfZr3Pt2C
_cell_length_a 4.421
_cell_length_b 4.464
_cell_length_c 13.608
_cell_angle_alpha 90.00
_cell_angle_beta 90.00
_cell_angle_gamma 90.00
_symmetry_space_group_name_H-M 'I m m m'
_symmetry_Int_Tables_number 71
_symmetry_space_group_name_Hall '-I 2 2'
loop_
_atom_site_label
_atom_site_fract_x
_atom_site_fract_y
_atom_site_fract_z
_atom_site_occupancy
Hf1 0.000 0.000 0.000 1
Zr1 0.000 0.000 0.500 1
Zr2 0.000 0.500 0.324 1
Pt1 0.000 0.500 0.133 1
C1 0.000 0.500 0.500 1
```

Entry 8:
A geometry-optimized Pu2HfC structure, computed with PBE.

Calculated values
DFT formation energy (eV per formula unit): 1.2
Final energy (eV per atom): -11.6547

```
data_Pu2HfC
_cell_length_a 3.2394
_cell_length_b 3.2394
_cell_length_c 27.7555
_cell_angle_alpha 90.00
_cell_angle_beta 90.00
_cell_angle_gamma 120.00
_symmetry_space_group_name_H-M 'R -3 m'
_symmetry_Int_Tables_number 166
_symmetry_space_group_name_Hall '-R 3 2"'
loop_
_atom_site_label
_atom_site_fract_x
_atom_site_fract_y
_atom_site_fract_z
_atom_site_occupancy
Pu1 0.0000 0.0000 0.1127 1
Hf1 0.0000 0.0000 0.0000 1
C1 0.0000 0.0000 0.5000 1
```

Q: Which V values were calculated for the entries above? A: 14.70, 16.41, 17.67, 16.33, 15.80, 18.93, 19.18, 21.02, in Å³/atom.
Q: Which total magnetization values were calculated for the entries above? A: 0.00, 0.00, 0.00, 0.00, 1.34, 0.00, 0.00, 10.42, in μB/f.u..
Q: Which D(E_F) values were calculated for the entries above? A: 11.3, 4.0, 12.1, 4.3, 2.8, 2.2, 10.5, 41.2, in states/eV per cell.